1.
Density functional theory data (PBE) for an optimized crystal structure of TbPr2Au2.

Values from the calculation:
* crystal system: orthorhombic
* M_tot: 0.000 μB/f.u.
* symmetry: Immm
* final energy: -23.7 eV per formula unit
* calculated formation energy: -0.600 eV/atom

```
TbPr2Au2
1.0
-2.012 3.584 4.946
2.012 -3.584 4.946
2.012 3.584 -4.946
Tb Pr Au
1 2 2
Direct
0.000 0.000 0.000 Tb
0.301 0.801 0.500 Pr
0.699 0.199 0.500 Pr
0.293 0.500 0.793 Au
0.707 0.500 0.207 Au
```

2.
Density functional theory data (PBE) for an optimized crystal structure of Zr2CuMo.

Values from the calculation:
* crystal system: tetragonal
* M_tot: 0.000 μB/f.u.
* symmetry: P4mm
* final energy: -31.5 eV per formula unit
* calculated formation energy: 0.128 eV/atom

```
Zr2CuMo
1.0
3.430 0.000 0.000
0.000 3.430 0.000
0.000 0.000 6.176
Zr Cu Mo
2 1 1
Direct
0.000 0.000 0.000 Zr
0.500 0.500 0.304 Zr
0.000 0.000 0.541 Cu
0.500 0.500 0.764 Mo
```

3.
Density functional theory data (PBE) for an optimized crystal structure of Ni2Pt3W.

Values from the calculation:
* crystal system: monoclinic
* M_tot: 0.000 μB/f.u.
* symmetry: C2/m
* final energy: -42.7 eV per formula unit
* calculated formation energy: -0.015 eV/atom

```
Ni2Pt3W
1.0
9.048 -1.358 0.000
9.048 1.358 0.000
-2.395 0.000 7.236
Ni Pt W
4 6 2
Direct
0.073 0.073 0.155 Ni
0.305 0.305 0.615 Ni
0.695 0.695 0.385 Ni
0.927 0.927 0.845 Ni
0.062 0.062 0.790 Pt
0.296 0.296 0.258 Pt
0.432 0.432 0.546 Pt
0.568 0.568 0.454 Pt
0.704 0.704 0.742 Pt
0.938 0.938 0.210 Pt
0.330 0.330 0.949 W
0.670 0.670 0.051 W
```

4.
Density functional theory data (PBE) for an optimized crystal structure of NaTaZn2W.

Values from the calculation:
* crystal system: tetragonal
* M_tot: 1.837 μB/f.u.
* symmetry: P4/mmm
* final energy: -18.1 eV per formula unit
* calculated formation energy: 2.124 eV/atom

```
NaTaZn2W
1.0
4.785 0.000 0.000
0.000 4.785 0.000
0.000 0.000 4.954
Na Ta Zn W
1 1 2 1
Direct
0.000 0.000 0.000 Na
0.500 0.500 0.000 Ta
0.000 0.500 0.500 Zn
0.500 0.000 0.500 Zn
0.000 0.000 0.500 W
```

5.
Density functional theory data (PBE) for an optimized crystal structure of RbHfCl5.

Values from the calculation:
* crystal system: monoclinic
* raw formation energy: -1.882 eV/atom
* M_tot: 0.000 μB/f.u.
* symmetry: C2/c
* final energy: -33.3 eV per formula unit

```
RbHfCl5
1.0
6.075 -4.378 0.000
6.075 4.378 0.000
-3.863 0.000 9.242
Rb Hf Cl
2 2 10
Direct
0.038 0.962 0.750 Rb
0.962 0.038 0.250 Rb
0.500 0.500 0.000 Hf
0.500 0.500 0.500 Hf
0.168 0.684 0.005 Cl
0.205 0.392 0.389 Cl
0.316 0.832 0.495 Cl
0.392 0.205 0.889 Cl
0.435 0.565 0.750 Cl
0.565 0.435 0.250 Cl
0.608 0.795 0.111 Cl
0.684 0.168 0.505 Cl
0.795 0.608 0.611 Cl
0.832 0.316 0.995 Cl
```

6.
Density functional theory data (PBE) for an optimized crystal structure of Ta2TeSe.

Values from the calculation:
* crystal system: monoclinic
* raw formation energy: -0.262 eV/atom
* M_tot: 0.000 μB/f.u.
* symmetry: Pm
* final energy: -31.4 eV per formula unit

```
Ta2TeSe
1.0
3.631 0.000 0.000
0.000 4.234 0.000
-0.028 0.000 6.939
Ta Te Se
2 1 1
Direct
0.000 0.000 0.000 Ta
0.500 0.500 0.045 Ta
0.502 0.000 0.316 Te
0.998 0.500 0.763 Se
```

7.
Density functional theory data (PBE) for an optimized crystal structure of PuUNiAu.

Values from the calculation:
* crystal system: cubic
* M_tot: 7.032 μB/f.u.
* symmetry: F-43m
* final energy: -35.5 eV per formula unit
* calculated formation energy: -0.218 eV/atom

```
PuUNiAu
1.0
0.000 3.330 3.330
3.330 0.000 3.330
3.330 3.330 0.000
Pu U Ni Au
1 1 1 1
Direct
0.000 0.000 0.000 Pu
0.250 0.250 0.250 U
0.500 0.500 0.500 Ni
0.750 0.750 0.750 Au
```

8.
Density functional theory data (PBE) for an optimized crystal structure of VTe2Pt.

Values from the calculation:
* crystal system: trigonal
* raw formation energy: 0.001 eV/atom
* M_tot: 0.000 μB/f.u.
* symmetry: R-3m
* final energy: -21.4 eV per formula unit

```
VTe2Pt
1.0
1.737 1.003 8.598
-1.737 1.003 8.598
0.000 -2.005 8.598
V Te Pt
1 2 1
Direct
0.000 0.000 0.000 V
0.401 0.401 0.401 Te
0.599 0.599 0.599 Te
0.500 0.500 0.500 Pt
```